Computed, not measured: crystalline PmMnTcSb at its relaxed geometry at the PBE level of DFT.

Results
Formation energy (no corrections) in eV/f.u.: 0.204
Energy in eV/cell: -28.2

Cell lengths 4.7755, 4.7755, 4.7755 Å; angles 60.00, 60.00, 60.00 degrees
Closest atoms and distances in Å follow each position.
Element x y z (fractional)
1 Pm 0.0000 0.0000 0.0000  4 Mn 2.92, 4 Tc 2.92
2 Mn 0.7500 0.7500 0.7500  4 Pm 2.92, 4 Sb 2.92
3 Tc 0.2500 0.2500 0.2500  4 Sb 2.92, 4 Pm 2.92
4 Sb 0.5000 0.5000 0.5000  4 Mn 2.92, 4 Tc 2.92